RbHoO3 | meta-GGA SCAN | PBEsol geometry

a = 4.416 Å, b = 4.416 Å, c = 4.416 Å
α = 90.00°, β = 90.00°, γ = 90.00°
Space group Pm-3m (No. 221)
One atom of each set of equivalent atoms:
1 Rb 0.000 0.000 0.000
2 Ho 0.500 0.500 0.500
3 O 0.000 0.500 0.500

Calculated values
Magnetic moment in μB per cell: 2.00
Energy relative to the elements, uncorrected in eV per atom: -2.0769
Density of states at the Fermi level in states/eV/cell: 4.7



LaGaH3 | meta-GGA SCAN | PBEsol geometry

a = 3.804 Å, b = 3.804 Å, c = 3.804 Å
α = 90.00°, β = 90.00°, γ = 90.00°
Space group Pm-3m (No. 221)
One atom of each set of equivalent atoms:
1 La 0.000 0.000 0.000
2 Ga 0.500 0.500 0.500
3 H 0.000 0.500 0.500

Calculated values
Energy in eV per atom: -14.06
Magnetic moment in μB per cell: 0.01
Density of states at the Fermi level in states/eV/cell: 2.3



LiAu5 | meta-GGA SCAN | PBEsol geometry

a = 3.911 Å, b = 12.275 Å, c = 4.062 Å
α = 90.00°, β = 90.00°, γ = 90.00°
Space group Cmmm (No. 65)
One atom of each set of equivalent atoms:
1 Li 0.000 0.000 0.000
2 Au 0.000 0.165 0.500
3 Au 0.000 0.340 0.000
4 Au 0.000 0.500 0.500

Calculated values
Magnetic moment in μB per cell: 0.00
E_form in eV per atom: -0.282
Density of states at the Fermi level in states/eV/cell: 2.9



Mn2InAgBi | meta-GGA SCAN | PBEsol geometry

a = 4.945 Å, b = 4.945 Å, c = 5.335 Å
α = 90.00°, β = 90.00°, γ = 90.00°
Space group P4/mmm (No. 123)
One atom of each set of equivalent atoms:
1 Mn 0.000 0.500 0.000
2 In 0.000 0.000 0.500
3 Ag 0.500 0.500 0.000
4 Bi 0.500 0.500 0.500

Calculated values
Magnetic moment in μB per cell: 9.15
E_form in eV per atom: 0.562
Density of states at the Fermi level in states/eV/cell: 2.3



Ta2CuRe2 | meta-GGA SCAN | PBEsol geometry

a = 4.200 Å, b = 4.200 Å, c = 10.780 Å
α = 90.00°, β = 90.00°, γ = 90.00°
Space group I4/mmm (No. 139)
One atom of each set of equivalent atoms:
1 Ta 0.000 0.500 0.250
2 Cu 0.000 0.000 0.000
3 Re 0.000 0.000 0.387

Calculated values
Magnetic moment in μB per cell: 0.00
E_form in eV per atom: 0.758
Density of states at the Fermi level in states/eV/cell: 7.4



KIr2Au | meta-GGA SCAN | PBEsol geometry

a = 5.667 Å, b = 9.425 Å, c = 2.583 Å
α = 90.00°, β = 90.00°, γ = 90.00°
Space group Cmmm (No. 65)
One atom of each set of equivalent atoms:
1 K 0.000 0.000 0.000
2 Ir 0.250 0.250 0.500
3 Au 0.000 0.500 0.000

Calculated values
Magnetic moment in μB per cell: 0.01
E_form in eV per atom: 0.882
Density of states at the Fermi level in states/eV/cell: 8.9



MoPb2W | meta-GGA SCAN | PBEsol geometry

a = 10.375 Å, b = 3.254 Å, c = 5.295 Å
α = 90.00°, β = 111.62°, γ = 90.00°
Space group Cm (No. 8)
One atom of each set of equivalent atoms:
1 Mo 0.000 0.000 0.000
2 Pb 0.057 0.500 0.537
3 Pb 0.268 0.500 0.173
4 W 0.327 0.000 0.716

Calculated values
Magnetic moment in μB per cell: 0.00
E_form in eV per atom: 0.777
Density of states at the Fermi level in states/eV/cell: 4.3



ZrTlZn2 | meta-GGA SCAN | PBEsol geometry

a = 9.192 Å, b = 3.176 Å, c = 5.344 Å
α = 90.00°, β = 100.54°, γ = 90.00°
Space group C2/m (No. 12)
One atom of each set of equivalent atoms:
1 Zr 0.000 0.000 0.000
2 Tl 0.000 0.500 0.500
3 Zn 0.248 0.500 0.236

Calculated values
Magnetic moment in μB per cell: 0.00
E_form in eV per atom: 0.044
Density of states at the Fermi level in states/eV/cell: 4.5



MnFe2Si | meta-GGA SCAN | PBEsol geometry

a = 3.857 Å, b = 3.857 Å, c = 2.822 Å
α = 90.00°, β = 90.00°, γ = 90.00°
Space group P4/mmm (No. 123)
One atom of each set of equivalent atoms:
1 Mn 0.000 0.000 0.000
2 Fe 0.000 0.500 0.500
3 Si 0.500 0.500 0.000

Calculated values
Magnetic moment in μB per cell: 3.01
Energy relative to the elements, uncorrected in eV per atom: -0.2975
Density of states at the Fermi level in states/eV/cell: 2.0



NiAu3 | meta-GGA SCAN | PBEsol geometry

a = 8.8647 Å, b = 8.8647 Å, c = 2.7463 Å
α = 90.00°, β = 90.00°, γ = 120.00°
Space group R-3m (No. 166, hexagonal axes)
One atom of each set of equivalent atoms:
1 Ni 0.0000 0.0000 0.0000
2 Au 0.0000 0.5000 0.0000

Calculated values
Magnetic moment in μB per cell: 0.01
E_form in eV per atom: 0.172
Density of states at the Fermi level in states/eV/cell: 6.9



AlBTe2 | meta-GGA SCAN | PBEsol geometry

a = 3.3772 Å, b = 3.3772 Å, c = 26.6364 Å
α = 90.00°, β = 90.00°, γ = 120.00°
Space group R-3m (No. 166, hexagonal axes)
One atom of each set of equivalent atoms:
1 Al 0.0000 0.0000 0.0000
2 B 0.0000 0.0000 0.5000
3 Te 0.0000 0.0000 0.1111

Calculated values
Magnetic moment in μB per cell: 0.00
Energy relative to the elements, uncorrected in eV per atom: 0.7604
Density of states at the Fermi level in states/eV/cell: 6.0



K6CuSi2O8 | meta-GGA SCAN | PBEsol geometry

a = 6.175 Å, b = 6.657 Å, c = 7.483 Å
α = 83.11°, β = 87.59°, γ = 69.69°
Space group P-1 (No. 2)
One atom of each set of equivalent atoms:
1 K 0.151 0.329 0.166
2 K 0.226 0.687 0.440
3 K 0.301 0.804 0.974
4 Cu 0.500 0.000 0.500
5 Si 0.280 0.261 0.732
6 O 0.061 0.225 0.844
7 O 0.243 0.271 0.509
8 O 0.331 0.471 0.786
9 O 0.480 0.959 0.246

Calculated values
Magnetic moment in μB per cell: 1.00
Energy relative to the elements, uncorrected in eV per atom: -2.2163